Record 1
Entry from Alexandria via LeMat-Bulk: crystalline ScTlRh2 at its relaxed geometry (GGA-PBE).

Results
Magnetization, μB per atom: 0.000
Calculated formation energy, eV/atom: -0.36
Final energy, eV per atom: -6.212
Energy above the most stable polymorph in this dataset, eV per atom: 0.225

Cell lengths 3.136, 4.074, 5.568 Å; angles 90.00, 90.00, 90.00 degrees
Space group Pmm2 (No. 25)
Inequivalent atoms, fractional coordinates:
Sc1 0.000 0.000 0.000 (multiplicity 1)
Tl1 0.500 0.500 0.324 (multiplicity 1)
Rh1 0.000 0.000 0.533 (multiplicity 1)
Rh2 0.500 0.500 0.822 (multiplicity 1)


Record 2
Entry from Alexandria via LeMat-Bulk: crystalline Rb2LaSe2 at its relaxed geometry (GGA-PBE).

Results
Magnetization, μB per atom: 0.000
Final energy, eV per atom: -3.945
E_form (uncorrected), kJ/mol of formula units: -569

Cell lengths 8.365, 8.365, 5.157 Å; angles 90.00, 90.00, 90.00 degrees
Space group P4/mbm (No. 127)
Inequivalent atoms, fractional coordinates:
Rb1 0.137 0.363 0.000 (multiplicity 4)
La1 0.000 0.000 0.500 (multiplicity 2)
Se1 0.183 0.683 0.500 (multiplicity 4)


Record 3
Entry from Alexandria via LeMat-Bulk: crystalline Co4AsBr at its relaxed geometry (GGA-PBE).

Results
Magnetization, μB per atom: 1.134
Final energy, eV per atom: -5.127
E_form (uncorrected), kJ/mol of formula units: 384

Cell lengths 6.988, 6.988, 6.988 Å; angles 90.00, 90.00, 90.00 degrees
Space group F-43m (No. 216)
Inequivalent atoms, fractional coordinates:
Co1 0.124 0.124 0.124 (multiplicity 16)
As1 0.250 0.250 0.750 (multiplicity 4)
Br1 0.000 0.000 0.500 (multiplicity 4)


Record 4
Entry from Alexandria via LeMat-Bulk: crystalline Ta2FeH4 at its relaxed geometry (GGA-PBE).

Results
Magnetization, μB per atom: 0.000
Final energy, eV per atom: -6.442

Cell lengths 4.645, 4.208, 6.475 Å; angles 90.00, 91.69, 90.00 degrees
Space group P2_1/m (No. 11)
Inequivalent atoms, fractional coordinates:
Ta1 0.227 0.250 0.493 (multiplicity 2)
Ta2 0.252 0.250 0.989 (multiplicity 2)
Fe1 0.233 0.750 0.197 (multiplicity 2)
H1 0.020 0.503 0.703 (multiplicity 4)
H2 0.285 0.750 0.958 (multiplicity 2)
H3 0.429 0.250 0.737 (multiplicity 2)


Record 5
Entry from Alexandria via LeMat-Bulk: crystalline Pm2NdNi9 at its relaxed geometry (GGA-PBE).

Results
Magnetization, μB per atom: 0.059
Calculated formation energy, eV/atom: -0.33
Final energy, eV per atom: -5.854

Cell lengths 5.0327, 5.0327, 24.6908 Å; angles 90.00, 90.00, 120.00 degrees
Space group R-3m (No. 166, hexagonal axes)
Inequivalent atoms, fractional coordinates:
Pm1 0.0000 0.0000 0.1390 (multiplicity 6)
Nd1 0.0000 0.0000 0.0000 (multiplicity 3)
Ni1 0.0000 0.0000 0.3327 (multiplicity 6)
Ni2 0.0000 0.0000 0.5000 (multiplicity 3)
Ni3 0.0006 0.5003 0.0813 (multiplicity 18)


Record 6
Entry from Alexandria via LeMat-Bulk: crystalline ErPaRuRh at its relaxed geometry (GGA-PBE).

Results
Magnetization, μB per atom: 0.000
Calculated formation energy, eV/atom: -0.57
Final energy, eV per atom: -8.244

Cell lengths 6.838, 6.838, 6.838 Å; angles 90.00, 90.00, 90.00 degrees
Space group F-43m (No. 216)
Inequivalent atoms, fractional coordinates:
Er1 0.000 0.000 0.000 (multiplicity 4)
Pa1 0.000 0.000 0.500 (multiplicity 4)
Ru1 0.250 0.250 0.250 (multiplicity 4)
Rh1 0.250 0.250 0.750 (multiplicity 4)


Record 7
Entry from Alexandria via LeMat-Bulk: crystalline La3Tb6Pr2Nd at its relaxed geometry (GGA-PBE).

Results
Magnetization, μB per atom: 0.000
Calculated formation energy, eV/atom: 0.01
Final energy, eV per atom: -4.730

Cell lengths 6.335, 10.978, 11.938 Å; angles 90.00, 100.18, 90.00 degrees
Space group C2/m (No. 12)
Inequivalent atoms, fractional coordinates:
La1 0.000 0.000 0.000 (multiplicity 2)
La2 0.000 0.333 0.000 (multiplicity 4)
Tb1 0.249 0.333 0.749 (multiplicity 8)
Tb2 0.250 0.000 0.749 (multiplicity 4)
Pr1 0.000 0.167 0.500 (multiplicity 4)
Nd1 0.000 0.500 0.500 (multiplicity 2)


Record 8
Entry from Alexandria via LeMat-Bulk: crystalline Ac8Pr5Mg at its relaxed geometry (GGA-PBE).

Results
Magnetization, μB per atom: 0.000
Calculated formation energy, eV/atom: 0.14
Final energy, eV per atom: -4.024

Cell lengths 14.022, 11.661, 9.782 Å; angles 90.00, 133.89, 90.00 degrees
Space group C2 (No. 5)
Inequivalent atoms, fractional coordinates:
Ac1 0.059 0.000 0.266 (multiplicity 4)
Ac2 0.101 0.670 0.433 (multiplicity 4)
Ac3 0.203 0.405 0.762 (multiplicity 4)
Ac4 0.246 0.489 0.191 (multiplicity 4)
Pr1 0.000 0.725 0.000 (multiplicity 2)
Pr2 0.075 0.341 0.273 (multiplicity 4)
Pr3 0.221 0.197 0.063 (multiplicity 4)
Mg1 0.000 0.179 0.500 (multiplicity 2)


Record 9
Entry from Alexandria via LeMat-Bulk: crystalline Pr2Y3Th2 at its relaxed geometry (GGA-PBE).

Results
Magnetization, μB per atom: 0.000
Calculated formation energy, eV/atom: 0.05
Final energy, eV per atom: -6.208
Energy above the most stable polymorph in this dataset, eV per atom: 0.000

Cell lengths 12.021, 3.618, 10.781 Å; angles 90.00, 95.90, 90.00 degrees
Space group C2/m (No. 12)
Inequivalent atoms, fractional coordinates:
Pr1 0.215 0.000 0.348 (multiplicity 4)
Y1 0.000 0.500 0.500 (multiplicity 2)
Y2 0.141 0.500 0.065 (multiplicity 4)
Th1 0.066 0.000 0.784 (multiplicity 4)


Record 10
Entry from Alexandria via LeMat-Bulk: crystalline LiReP2 at its relaxed geometry (GGA-PBE).

Results
Magnetization, μB per atom: 0.000
Calculated formation energy, eV/atom: 0.19
Final energy, eV per atom: -6.110
Energy above the most stable polymorph in this dataset, eV per atom: 0.505

Cell lengths 3.127, 3.721, 4.554 Å; angles 90.00, 90.00, 90.00 degrees
Space group Pmmm (No. 47)
Inequivalent atoms, fractional coordinates:
Li1 0.000 0.000 0.000 (multiplicity 1)
Re1 0.500 0.000 0.500 (multiplicity 1)
P1 0.000 0.500 0.500 (multiplicity 1)
P2 0.500 0.500 0.000 (multiplicity 1)


Record 11
Entry from Alexandria via LeMat-Bulk: crystalline Sm4Tl2Bi at its relaxed geometry (GGA-PBE).

Results
Magnetization, μB per atom: 0.000
Calculated formation energy, eV/atom: -0.37
Final energy, eV per atom: -4.301

Cell lengths 5.932, 6.721, 11.157 Å; angles 90.00, 104.91, 90.00 degrees
Space group P2_1/m (No. 11)
Inequivalent atoms, fractional coordinates:
Sm1 0.069 0.250 0.140 (multiplicity 2)
Sm2 0.219 0.750 0.446 (multiplicity 2)
Sm3 0.371 0.011 0.735 (multiplicity 4)
Tl1 0.225 0.250 0.439 (multiplicity 2)
Tl2 0.498 0.750 0.998 (multiplicity 2)
Bi1 0.077 0.750 0.160 (multiplicity 2)


Record 12
Entry from Alexandria via LeMat-Bulk: crystalline GeTeOs at its relaxed geometry (GGA-PBE).

Results
Magnetization, μB per atom: 0.000
Final energy, eV per atom: -6.180
E_form (uncorrected), kJ/mol of formula units: 43

Cell lengths 8.068, 3.659, 8.930 Å; angles 90.00, 99.64, 90.00 degrees
Space group C2/m (No. 12)
Inequivalent atoms, fractional coordinates:
Ge1 0.154 0.000 0.072 (multiplicity 4)
Te1 0.166 0.000 0.673 (multiplicity 4)
Os1 0.038 0.500 0.850 (multiplicity 4)